[1]
## Be4CuOs (GGA-PBE)

Data for an optimized crystal structure of Be4CuOs.

It has space group F-43m (No. 216), with a = 6.0843 Å, b = 6.0843 Å, c = 6.0843 Å, α = 90.00°, β = 90.00° and γ = 90.00°. Symmetry generates all atoms from Be at (0.1238, 0.1238, 0.1238), Cu at (0.0000, 0.0000, 0.5000) and Os at (0.2500, 0.2500, 0.7500).

The density of states at the Fermi level comes out at 0.277 states/eV per atom. The value obtained for the uncorrected energy is -5.184 eV per atom. The formation energy is -0.145 eV per atom. The calculation puts the total magnetization at 0.00 μB per cell.



[2]
## TlCdSiTe4 (GGA-PBE)

Data for an optimized crystal structure of TlCdSiTe4.

It has space group P2_1/m (No. 11), with a = 7.2845 Å, b = 7.1268 Å, c = 10.3410 Å, α = 90.00°, β = 105.62° and γ = 90.00°. Symmetry generates all atoms from Tl at (0.1724, 0.2500, 0.0288), Cd at (0.2847, 0.2500, 0.6889), Si at (0.2294, 0.7500, 0.2934), Te at (0.0046, 0.5179, 0.7212), Te at (0.3667, 0.7500, 0.0944) and Te at (0.4919, 0.2500, 0.4910).

The density of states at the Fermi level comes out at 0.182 states/eV per atom. The value obtained for the uncorrected energy is -3.191 eV per atom. Its raw formation energy is -0.152 eV/atom. The calculation puts the total magnetization at 0.00 μB per cell.



[3]
## BaSnHgPd2 (GGA-PBE)

Data for an optimized crystal structure of BaSnHgPd2.

It has space group P4/mmm (No. 123), with a = 5.2985 Å, b = 5.2985 Å, c = 5.2891 Å, α = 90.00°, β = 90.00° and γ = 90.00°. Symmetry generates all atoms from Ba at (0.0000, 0.0000, 0.0000), Sn at (0.5000, 0.5000, 0.0000), Hg at (0.5000, 0.5000, 0.5000) and Pd at (0.0000, 0.5000, 0.5000).

The density of states at the Fermi level comes out at 0.445 states/eV per atom. The value obtained for the uncorrected energy is -3.288 eV per atom. The formation energy is 0.035 eV per atom. The calculation puts the total magnetization at 0.00 μB per cell.